ScTa3Te (PBE-GGA, relaxed); magnetic moment = 0.00 μB/f.u.; formation energy from raw total energies = 1.4009 eV per atom; calculated total energy = -38.027 eV per formula unit; E above lowest polymorph = 0.0000 eV per atom; calculated volume = 25.098 Å³ per atom
1.0
5.007 0.000 0.000
0.000 5.007 0.000
0.000 0.000 5.007
Ta Sc Te
3 1 1
Cartesian
2.503 0.000 0.000
0.000 0.000 2.503
0.000 2.503 0.000
2.503 2.503 2.503
0.000 0.000 0.000

***

Sc2TaTe6 (PBE-GGA, relaxed); magnetic moment = 0.00 μB/f.u.; formation energy from raw total energies = -0.6683 eV per atom; calculated total energy = -49.380 eV per formula unit; calculated volume = 27.918 Å³ per atom
1.0
-1.270 -2.512 6.301
5.656 -4.821 -0.782
6.069 6.462 4.052
Sc Te Ta
4 12 2
Cartesian
5.425 0.743 8.829
5.029 -1.614 0.743
1.762 -0.155 3.827
8.692 -0.717 5.745
3.420 -2.257 4.834
6.177 -1.645 7.092
4.560 4.386 4.059
4.702 -4.408 1.788
8.381 0.587 8.519
5.752 3.536 7.783
6.786 -2.074 3.231
5.894 -5.257 5.513
2.073 -1.458 1.053
7.034 1.386 4.738
4.277 0.774 2.479
3.668 1.203 6.341
3.034 3.231 2.026
2.193 -3.667 2.760

***

ScTa3Te (PBE-GGA, relaxed); magnetic moment = 0.00 μB/f.u.; formation energy from raw total energies = 1.7937 eV per atom; calculated total energy = -36.063 eV per formula unit; E above lowest polymorph = 0.3928 eV per atom; calculated volume = 22.696 Å³ per atom
1.0
-3.375 -1.639 3.061
3.401 -2.417 2.456
0.696 3.862 2.835
Ta Sc Te
3 1 1
Cartesian
1.701 -1.208 1.228
-1.687 -0.819 1.530
0.348 1.931 1.418
0.000 0.000 0.000
0.361 -0.097 4.176

***

ScTaTe3 (PBE-GGA, relaxed); magnetic moment = 1.20 μB/f.u.; formation energy from raw total energies = 0.2113 eV per atom; calculated total energy = -26.553 eV per formula unit; E above lowest polymorph = 0.0000 eV per atom; calculated volume = 31.545 Å³ per atom
1.0
5.403 0.000 0.000
0.000 5.403 0.000
0.000 0.000 5.403
Ta Te Sc
1 3 1
Cartesian
0.000 0.000 0.000
2.701 0.000 0.000
0.000 2.701 0.000
0.000 0.000 2.701
2.701 2.701 2.701

***

Sc3TaTe (PBE-GGA, relaxed); magnetic moment = 1.35 μB/f.u.; formation energy from raw total energies = 0.6837 eV per atom; calculated total energy = -30.571 eV per formula unit; E above lowest polymorph = 0.1884 eV per atom; calculated volume = 27.993 Å³ per atom
1.0
5.192 0.000 0.000
0.000 5.192 0.000
0.000 0.000 5.192
Ta Sc Te
1 3 1
Cartesian
2.596 2.596 2.596
2.596 0.000 0.000
0.000 0.000 2.596
0.000 2.596 0.000
0.000 0.000 0.000

***

ScTaTe4 (PBE-GGA, relaxed); magnetic moment = 2.19 μB/f.u.; formation energy from raw total energies = 0.9149 eV per atom; calculated total energy = -25.262 eV per formula unit; calculated volume = 27.227 Å³ per atom
1.0
0.000 4.339 4.339
4.339 0.000 4.339
4.339 4.339 0.000
Ta Te Sc
1 4 1
Cartesian
0.000 0.000 0.000
5.424 3.253 5.424
3.253 3.253 3.253
5.424 5.424 3.253
3.253 5.424 5.424
6.508 6.508 6.508

***

Sc3TaTe (PBE-GGA, relaxed); magnetic moment = 0.00 μB/f.u.; formation energy from raw total energies = 0.4953 eV per atom; calculated total energy = -31.513 eV per formula unit; E above lowest polymorph = 0.0000 eV per atom; calculated volume = 27.384 Å³ per atom
1.0
-1.154 4.894 -1.132
-4.092 -0.242 3.125
2.914 1.598 3.940
Sc Te Ta
3 1 1
Cartesian
1.457 0.799 1.970
-2.046 -0.121 1.562
-0.577 2.447 -0.566
-1.166 3.125 2.966
0.000 0.000 0.000

***

ThScTa (PBE-GGA, relaxed); magnetic moment = 0.00 μB/f.u.; calculated total energy = -24.950 eV per formula unit; energy of formation = 218 meV per atom; calculated volume = 24.706 Å³ per atom
1.0
4.495 0.000 0.000
0.000 4.881 0.503
-2.248 -0.708 6.683
Sc Ta Th
2 2 2
Cartesian
0.000 0.735 5.435
2.248 3.438 1.752
2.248 0.606 3.419
0.000 3.568 3.768
0.000 1.120 1.336
2.248 3.053 5.851

***

calculated total energy of number 4 (ScTaTe3)?
-26.553 eV per formula unit

***

What is the formula in the first record?
ScTa3Te